Compound: PaTcSnMo
Source: Alexandria via LeMat-Bulk
Functional: GGA-PBE
Structure: relaxed

Fermi-level density of states = 7.51 states/eV/f.u.
Energy of formation = -0.0530 eV per atom

The structure in CIF format:
```
data_PaTcSnMo
_cell_length_a 6.738
_cell_length_b 6.738
_cell_length_c 6.738
_cell_angle_alpha 90.00
_cell_angle_beta 90.00
_cell_angle_gamma 90.00
_symmetry_space_group_name_H-M 'F -4 3 m'
_symmetry_Int_Tables_number 216
_symmetry_space_group_name_Hall 'F -4 2 3'
loop_
_atom_site_label
_atom_site_type_symbol
_atom_site_fract_x
_atom_site_fract_y
_atom_site_fract_z
Pa1 Pa 0.000 0.000 0.000
Tc1 Tc 0.250 0.250 0.250
Sn1 Sn 0.000 0.000 0.500
Mo1 Mo 0.250 0.250 0.750
```



Compound: Rb2LiTe2O6
Source: Alexandria via LeMat-Bulk
Functional: GGA-PBE
Structure: relaxed

Formation energy from raw total energies = -1.24 eV per atom
Fermi-level density of states = 2.59 states/eV/f.u.

The structure in CIF format:
```
data_Rb2LiTe2O6
_cell_length_a 9.832
_cell_length_b 6.919
_cell_length_c 8.967
_cell_angle_alpha 90.00
_cell_angle_beta 116.05
_cell_angle_gamma 90.00
_symmetry_space_group_name_H-M 'C 1 2/m 1'
_symmetry_Int_Tables_number 12
_symmetry_space_group_name_Hall '-C 2y'
loop_
_atom_site_label
_atom_site_type_symbol
_atom_site_fract_x
_atom_site_fract_y
_atom_site_fract_z
Rb1 Rb 0.245 0.000 0.185
Li1 Li 0.000 0.500 0.000
Te1 Te 0.089 0.000 0.720
O1 O 0.002 0.215 0.768
O2 O 0.213 0.500 0.110
```



Compound: Pa4TcRu
Source: Alexandria via LeMat-Bulk
Functional: GGA-PBE
Structure: relaxed

Fermi-level density of states = 11.13 states/eV/f.u.
Energy of formation = 0.0409 eV per atom

The structure in CIF format:
```
data_Pa4TcRu
_cell_length_a 6.700
_cell_length_b 6.437
_cell_length_c 7.065
_cell_angle_alpha 90.00
_cell_angle_beta 102.10
_cell_angle_gamma 90.00
_symmetry_space_group_name_H-M 'P 1 21/c 1'
_symmetry_Int_Tables_number 14
_symmetry_space_group_name_Hall '-P 2ybc'
loop_
_atom_site_label
_atom_site_type_symbol
_atom_site_fract_x
_atom_site_fract_y
_atom_site_fract_z
Pa1 Pa 0.124 0.159 0.364
Pa2 Pa 0.322 0.668 0.278
Tc1 Tc 0.000 0.000 0.000
Ru1 Ru 0.500 0.000 0.500
```



Compound: TlPb5Au4
Source: Alexandria via LeMat-Bulk
Functional: GGA-PBE
Structure: relaxed

Fermi-level density of states = 4.96 states/eV/f.u.
Energy of formation = -0.0282 eV per atom

The structure in CIF format:
```
data_TlPb5Au4
_cell_length_a 15.329
_cell_length_b 4.902
_cell_length_c 7.358
_cell_angle_alpha 90.00
_cell_angle_beta 91.03
_cell_angle_gamma 90.00
_symmetry_space_group_name_H-M 'C 1 2/m 1'
_symmetry_Int_Tables_number 12
_symmetry_space_group_name_Hall '-C 2y'
loop_
_atom_site_label
_atom_site_type_symbol
_atom_site_fract_x
_atom_site_fract_y
_atom_site_fract_z
Tl1 Tl 0.000 0.000 0.000
Pb1 Pb 0.000 0.000 0.500
Pb2 Pb 0.167 0.500 0.511
Pb3 Pb 0.167 0.500 0.991
Au1 Au 0.018 0.500 0.248
Au2 Au 0.174 0.000 0.749
```



Table of raw total energy (eV/atom), in record order: -8.73, -4.86, -9.56, -3.43